A relaxed structure of Sr2NiAuC. Source: Alexandria via LeMat-Bulk, functional GGA-PBE.

The space group is P4/mmm (No. 123) and the conventional cell measures 5.520, 5.520 and 3.647 Å, with angles of 90.00, 90.00 and 90.00 degrees. The distinct sites, in fractional coordinates, are Sr at (0.000, 0.500, 0.000), Ni at (0.000, 0.000, 0.500), Au at (0.500, 0.500, 0.500) and C at (0.000, 0.000, 0.000).

The density of states at the Fermi level is 0.551 states/eV per atom. The total magnetization comes out at 0.00 Bohr magnetons per cell. As for the formation energy: -250 meV/atom.



A relaxed structure of Th2Sc3Ge4. Source: Alexandria via LeMat-Bulk, functional GGA-PBE.

The space group is P2_1/c (No. 14) and the conventional cell measures 7.614, 7.566 and 7.475 Å, with angles of 90.00, 110.89 and 90.00 degrees. The distinct sites, in fractional coordinates, are Th at (0.193, 0.178, 0.062), Sc at (0.247, 0.663, 0.241), Sc at (0.500, 0.000, 0.500), Ge at (0.088, 0.545, 0.843) and Ge at (0.499, 0.632, 0.634).

The density of states at the Fermi level is 0.700 states/eV per atom. The total magnetization comes out at 0.00 Bohr magnetons per cell. As for the formation energy: -865 meV/atom.



A relaxed structure of TbCdPtO4. Source: Alexandria via LeMat-Bulk, functional GGA-PBE.

The space group is Imma (No. 74) and the conventional cell measures 6.910, 7.109 and 8.211 Å, with angles of 90.00, 90.00 and 90.00 degrees. The distinct sites, in fractional coordinates, are Tb at (0.250, 0.250, 0.250), Cd at (0.000, 0.250, 0.653), Pt at (0.000, 0.000, 0.000), O at (0.000, 0.040, 0.251) and O at (0.191, 0.250, 0.972).

For the uncorrected formation energy, the calculation gives -1075 kJ/mol of formula units. The density of states at the Fermi level is 0.291 states/eV per atom. The total magnetization comes out at 0.00 Bohr magnetons per cell.



A relaxed structure of Ca2GaAs3Rh4. Source: Alexandria via LeMat-Bulk, functional GGA-PBE.

The space group is P-4m2 (No. 115) and the conventional cell measures 4.176, 4.176 and 10.396 Å, with angles of 90.00, 90.00 and 90.00 degrees. The distinct sites, in fractional coordinates, are Ca at (0.000, 0.500, 0.248), Ga at (0.500, 0.500, 0.000), As at (0.000, 0.000, 0.000), As at (0.000, 0.500, 0.634), Rh at (0.000, 0.000, 0.500), Rh at (0.000, 0.500, 0.867) and Rh at (0.500, 0.500, 0.500).

The density of states at the Fermi level is 0.563 states/eV per atom. The total magnetization comes out at 0.00 Bohr magnetons per cell. As for the formation energy: -785 meV/atom.



A relaxed structure of Ac3In. Source: Alexandria via LeMat-Bulk, functional GGA-PBE.

The space group is Cmcm (No. 63) and the conventional cell measures 5.277, 23.740 and 5.236 Å, with angles of 90.00, 90.00 and 90.00 degrees. The distinct sites, in fractional coordinates, are Ac at (0.000, 0.062, 0.250), Ac at (0.000, 0.303, 0.750), Ac at (0.000, 0.432, 0.250) and In at (0.000, 0.162, 0.750).

The energy above the lowest structure with this stoichiometry comes out at 44 meV per atom. The density of states at the Fermi level is 1.521 states/eV per atom. The total magnetization comes out at 0.00 Bohr magnetons per cell. As for the formation energy: -139 meV/atom.



A relaxed structure of Cr3HgCl. Source: Alexandria via LeMat-Bulk, functional GGA-PBE.

The space group is Pm-3m (No. 221) and the conventional cell measures 5.228, 5.228 and 5.228 Å, with angles of 90.00, 90.00 and 90.00 degrees. The distinct sites, in fractional coordinates, are Cr at (0.000, 0.000, 0.500), Hg at (0.000, 0.000, 0.000) and Cl at (0.500, 0.500, 0.500).

The energy above the lowest structure with this stoichiometry comes out at 380 meV per atom. For the uncorrected formation energy, the calculation gives 598 kJ/mol of formula units. The density of states at the Fermi level is 0.713 states/eV per atom. The total magnetization comes out at 13.70 Bohr magnetons per cell.



A relaxed structure of RbBeSe2N. Source: Alexandria via LeMat-Bulk, functional GGA-PBE.

The space group is P4/mmm (No. 123) and the conventional cell measures 6.353, 6.353 and 5.239 Å, with angles of 90.00, 90.00 and 90.00 degrees. The distinct sites, in fractional coordinates, are Rb at (0.000, 0.000, 0.000), Be at (0.500, 0.500, 0.500), Se at (0.000, 0.500, 0.000) and N at (0.000, 0.000, 0.500).

The energy above the lowest structure with this stoichiometry comes out at 2180 meV per atom. For the uncorrected formation energy, the calculation gives 1128 kJ/mol of formula units. The density of states at the Fermi level is 2.272 states/eV per atom. The total magnetization comes out at 3.94 Bohr magnetons per cell.



A relaxed structure of ScTlCrAu2. Source: Alexandria via LeMat-Bulk, functional GGA-PBE.

The space group is P4/mmm (No. 123) and the conventional cell measures 5.166, 5.166 and 5.112 Å, with angles of 90.00, 90.00 and 90.00 degrees. The distinct sites, in fractional coordinates, are Sc at (0.000, 0.000, 0.000), Tl at (0.500, 0.500, 0.500), Cr at (0.500, 0.500, 0.000) and Au at (0.000, 0.500, 0.500).

The density of states at the Fermi level is 0.846 states/eV per atom. The total magnetization comes out at 4.38 Bohr magnetons per cell. As for the formation energy: 864 meV/atom.



The highest total magnetization belongs to which entry? Cr3HgCl



Which formula does entry 5 have? Ac3In



The highest total magnetization belongs to which entry? Cr3HgCl